a | This record from Alexandria describes crystalline BaLi2Ag at its relaxed geometry. The functional is PBEsol.

Cell: 3.7223 3.7223 7.5350 Å, 90.00 90.00 90.00°
Fractional positions:
Ba: 0.5000 0.5000 0.7161
Ag: 0.0000 0.0000 0.4289
Li: 0.0000 0.0000 0.0807
Li: 0.5000 0.5000 0.2743

Output
The space group is No. 99. The value obtained for the density is 4.12 Mg/m³. Its crystal system is tetragonal.

---

b | This record from Alexandria describes crystalline BaLi2Ag at its relaxed geometry. The functional is PBEsol.

Cell: 3.7393 5.4927 6.2113 Å, 116.24 107.52 90.00°
Fractional positions:
Ba: 0.0000 0.5000 0.0000
Ag: 0.5000 0.0000 0.0000
Li: 0.8008 0.8008 0.6016
Li: 0.1992 0.1992 0.3984

Output
The space group is No. 71. The value obtained for the density is 3.99 Mg/m³. Its crystal system is orthorhombic.

---

Relative energies with respect to the most stable structure, expressed in eV/atom: a 0.000; b 0.017.

---

a | This record from Alexandria describes crystalline CdAsIr2 at its relaxed geometry. The functional is PBEsol.

Cell: 3.4818 4.2235 4.2235 Å, 90.00 90.00 90.00°
Fractional positions:
As: 0.5000 0.5000 0.5000
Ir: 0.0000 0.0000 0.5000
Ir: 0.0000 0.5000 0.0000
Cd: 0.5000 0.0000 0.0000

Output
The space group is No. 123. The value obtained for the density is 15.29 Mg/m³. Its crystal system is tetragonal.

---

b | This record from Alexandria describes crystalline CdAsIr2 at its relaxed geometry. The functional is PBEsol.

Cell: 2.8901 4.5499 4.8519 Å, 90.00 90.00 90.00°
Fractional positions:
As: 0.5000 0.5000 0.0000
Ir: 0.0000 0.0000 0.0000
Ir: 0.5000 0.0000 0.5000
Cd: 0.0000 0.5000 0.5000

Output
The space group is No. 47. The value obtained for the density is 14.88 Mg/m³. Its crystal system is orthorhombic.

---

Relative energies with respect to the most stable structure, expressed in eV/atom: a 0.000; b 0.112.

---

a | This record from Alexandria describes crystalline ReP2Pt at its relaxed geometry. The functional is PBEsol.

Cell: 2.7401 2.7401 9.1463 Å, 90.00 90.00 114.32°
Fractional positions:
P: 0.0000 0.0000 0.0413
P: 0.5000 0.5000 0.7151
Pt: 0.0000 0.0000 0.5052
Re: 0.5000 0.5000 0.2385

Output
The space group is No. 35. The value obtained for the density is 11.76 Mg/m³. Its crystal system is orthorhombic.

---

b | This record from Alexandria describes crystalline ReP2Pt at its relaxed geometry. The functional is PBEsol.

Cell: 2.9737 3.9040 4.9294 Å, 90.00 90.00 90.00°
Fractional positions:
P: 0.0000 0.0000 0.0000
P: 0.5000 0.0000 0.5000
Pt: 0.5000 0.5000 0.0000
Re: 0.0000 0.5000 0.5000

Output
The space group is No. 47. The value obtained for the density is 12.86 Mg/m³. Its crystal system is orthorhombic.

---

Relative energies with respect to the most stable structure, expressed in eV/atom: a 0.000; b 0.021.

---

a | This record from Alexandria describes crystalline Tl2Te at its relaxed geometry. The functional is PBEsol.

Cell: 5.5819 5.5819 6.8855 Å, 90.00 90.00 120.00°
Fractional positions:
Tl: 0.0000 0.0000 0.0000
Tl: 0.0000 0.0000 0.5000
Tl: 0.6667 0.3333 0.7500
Tl: 0.3333 0.6667 0.2500
Te: 0.3333 0.6667 0.7500
Te: 0.6667 0.3333 0.2500

Output
The space group is No. 194. The value obtained for the density is 9.59 Mg/m³. Its crystal system is hexagonal.

---

b | This record from Alexandria describes crystalline Tl2Te at its relaxed geometry. The functional is PBEsol.

Cell: 5.4132 5.4132 5.4132 Å, 60.00 60.00 60.00°
Fractional positions:
Tl: 0.7500 0.7500 0.7500
Tl: 0.2500 0.2500 0.2500
Te: 0.0000 0.0000 0.0000

Output
The space group is No. 225. The value obtained for the density is 7.94 Mg/m³. Its crystal system is cubic.

---

Relative energies with respect to the most stable structure, expressed in eV/atom: a 0.000; b 0.042.